Ba2ScVO6: relaxed, PBE with a Hubbard U.

Output
Mass density ... 4.88 g/cm³
Total magnetization ... 0.00 Bohr magnetons per cell
VASP energy ... -0.2706 Ha/atom

Unit cell a=5.890 b=5.890 c=5.285 alpha=90.00 beta=90.00 gamma=120.00
Atoms (fractional coordinates):
Ba1 0.333 0.667 0.183
Ba2 0.667 0.333 0.817
Sc1 0.000 0.000 0.500
V1 0.000 0.000 0.000
O1 0.149 0.298 0.779
O2 0.149 0.851 0.779
O3 0.298 0.149 0.221
O4 0.702 0.851 0.779
O5 0.851 0.149 0.221
O6 0.851 0.702 0.221